Record 1
A relaxed SmDy2Tm3Te6 crystal. Source: Alexandria, functional GGA-PBE.

Lattice parameters (Å, degrees): 9.753 9.753 8.755 104.12 104.12 25.52
Element x y z (fractional)
Sm1 0.000 0.000 0.000
Dy1 0.336 0.336 0.672
Dy2 0.664 0.664 0.328
Tm1 0.000 0.000 0.500
Tm2 0.336 0.336 0.169
Tm3 0.664 0.664 0.831
Te1 0.167 0.167 0.585
Te2 0.171 0.171 0.080
Te3 0.499 0.499 0.258
Te4 0.501 0.501 0.742
Te5 0.829 0.829 0.920
Te6 0.833 0.833 0.415

As for the uncorrected formation energy: -1.243 eV per atom. The calculation puts the density of states at the Fermi level at 6.20 states/eV/cell. As for the total magnetic moment: 0.000 μB per formula unit.

=====

Record 2
A relaxed LuAgSn2 crystal. Source: Alexandria, functional GGA-PBE.

Lattice parameters (Å, degrees): 4.630 4.630 4.334 90.00 90.00 90.00
Element x y z (fractional)
Lu1 0.000 0.000 0.000
Ag1 0.500 0.500 0.000
Sn1 0.000 0.500 0.500
Sn2 0.500 0.000 0.500

The energy above the lowest structure with this stoichiometry comes out at 0.0 meV per atom. The calculation puts the density of states at the Fermi level at 1.22 states/eV/cell. As for the total magnetic moment: 0.000 μB per formula unit. The energy of formation from the pure elements comes out at -369.0 meV per atom.

=====

Record 3
A relaxed Ba4Sc2Si crystal. Source: Alexandria, functional GGA-PBE.

Lattice parameters (Å, degrees): 9.649 9.649 9.649 140.16 140.16 57.60
Element x y z (fractional)
Ba1 0.000 0.500 0.500
Ba2 0.187 0.187 0.000
Ba3 0.500 0.000 0.500
Ba4 0.813 0.813 0.000
Sc1 0.411 0.411 0.000
Sc2 0.589 0.589 0.000
Si1 0.000 0.000 0.000

As for the uncorrected formation energy: 0.464 eV per atom. The calculation puts the density of states at the Fermi level at 11.17 states/eV/cell. As for the total magnetic moment: 2.838 μB per formula unit.

=====

For reference, E_tot by record: -5.09; -4.21; -3.22 eV/atom.